Record 1
PBEsol LaP4Se, relaxed; theoretical density = 5.1 g/cm3; formation energy without anion corrections = -227 kJ/mol of formula units; calculated volume = 111.2 Å³/f.u.
1.0
-0.003 1.409 -5.210
-3.768 -1.968 -3.326
-3.866 3.241 -1.917
La P Se
1 4 1
direct
0.000 0.000 0.000
0.394 0.394 0.394
0.394 0.394 0.819
0.819 0.394 0.394
0.394 0.819 0.394
0.750 0.750 0.750


Record 2
PBEsol Sb2OsIO, relaxed; theoretical density = 9.7 g/cm3; formation energy without anion corrections = 394 kJ/mol of formula units; calculated volume = 98.4 Å³/f.u.
1.0
-2.920 3.385 -0.270
-0.110 -0.450 -4.455
-3.717 -3.174 0.412
I Sb Os O
1 2 1 1
direct
0.000 0.000 0.500
0.000 0.500 0.000
0.500 0.000 0.000
0.500 0.500 0.500
0.000 0.000 0.000


Record 3
PBEsol Sc2AlRu, relaxed; theoretical density = 4.9 g/cm3; calculated volume = 73.1 Å³/f.u.; DFT formation energy = -0.25 eV/atom
1.0
-0.016 -2.272 -2.154
-1.583 -2.649 0.530
-7.546 1.828 -4.146
Sc Ru Al
2 1 1
direct
0.259 0.259 0.223
0.741 0.741 0.777
0.000 0.000 0.000
0.500 0.500 0.500


Record 4
PBEsol Li2Ge2Sb, relaxed; theoretical density = 4.9 g/cm3; formation energy without anion corrections = -44 kJ/mol of formula units; calculated volume = 95.4 Å³/f.u.
1.0
4.086 0.000 0.000
0.000 4.086 0.000
-2.043 -2.043 5.711
Sb Ge Li
1 2 2
direct
0.000 0.000 0.000
0.396 0.396 0.792
0.604 0.604 0.208
0.250 0.750 0.500
0.750 0.250 0.500


Record 5
PBEsol IrNCl2, relaxed; theoretical density = 6.4 g/cm3; formation energy without anion corrections = 545 kJ/mol of formula units; calculated volume = 72.5 Å³/f.u.
1.0
2.925 0.000 0.000
1.463 2.533 0.000
1.463 0.844 9.778
N Ir Cl
1 1 2
direct
0.500 0.500 0.500
0.000 0.000 0.000
0.925 0.925 0.224
0.075 0.075 0.776


Record 6
PBEsol Re2POsSe, relaxed; theoretical density = 12.3 g/cm3; formation energy without anion corrections = 1021 kJ/mol of formula units; calculated volume = 90.9 Å³/f.u.
1.0
4.469 0.000 0.000
0.000 4.511 0.000
0.000 0.000 4.511
Re Os Se P
2 1 1 1
direct
0.000 0.000 0.500
0.000 0.500 0.000
0.500 0.000 0.000
0.000 0.000 0.000
0.500 0.500 0.500